1.
! Sm7Al2Te2, relaxed, DFT PBE; values from VASP
! Formation energy (no corrections), meV/atom: -548
! V, Å³/atom: 30.1
&SYSTEM
  ibrav = 0, nat = 11, ntyp = 3
/
ATOMIC_SPECIES
Sm 150.36 Sm.upf
Al 26.98 Al.upf
Te 127.60 Te.upf
CELL_PARAMETERS angstrom
-1.9923 8.1910 5.0801
1.9923 -8.1910 5.0801
1.9923 8.1910 -5.0801
ATOMIC_POSITIONS crystal
Sm 0.0000 0.0000 0.0000
Sm 0.0179 0.3422 0.6757
Sm 0.1134 0.7558 0.3577
Sm 0.3981 0.7558 0.6423
Sm 0.4594 0.5708 0.8886
Sm 0.6664 0.3422 0.3243
Sm 0.6822 0.5708 0.1114
Al 0.3123 0.3123 0.0000
Al 0.7511 0.2511 0.5000
Te 0.2941 0.0573 0.2369
Te 0.8204 0.0573 0.7631

***

2.
! InP2Cl, relaxed, DFT PBE; values from VASP
! Formation energy (no corrections), meV/atom: 324
! V, Å³/atom: 21.9
! Excess energy over the best structure of this formula in the dataset, eV/atom: 0.5740
&SYSTEM
  ibrav = 0, nat = 4, ntyp = 3
/
ATOMIC_SPECIES
In 114.82 In.upf
P 30.97 P.upf
Cl 35.45 Cl.upf
CELL_PARAMETERS angstrom
-1.8578 1.8578 6.3362
1.8578 -1.8578 6.3362
1.8578 1.8578 -6.3362
ATOMIC_POSITIONS crystal
In 0.0000 0.0000 0.0000
P 0.2500 0.7500 0.5000
P 0.7500 0.2500 0.5000
Cl 0.5000 0.5000 0.0000

***

What is the V in the first record?
30.1 Å³/atom

***

Look up the V of the second one.
21.9 Å³/atom

***

Which value of V does entry 2 give?
21.9 Å³/atom